A relaxed structure of Cs2WS. Source: Alexandria, functional GGA-PBE.

Values from the calculation:
For the energy above the most stable polymorph in this dataset, the calculation gives 0.000 eV/atom. The value obtained for the uncorrected formation energy is 0.45 eV/atom.

a b c (Å): 13.597 13.597 4.573
angles (deg): 90.00 90.00 90.00
Space group I-42d (No. 122)
Symmetry-distinct sites (fractional):
Cs: 0.058 0.750 0.125 x8
W: 0.000 0.000 0.500 x4
S: 0.000 0.000 0.000 x4